# Tl2InBr

Tl2InBr after structural relaxation (GGA-PBE, the Alexandria database).

The structure in extended XYZ format:
```
8
Lattice="12.0299 0.0000 0.0000 0.0000 3.8717 0.0000 -0.9987 0.0000 5.3826" Properties=species:S:1:pos:R:3 pbc="T T T"
Tl 2.6430 0.0000 1.3502
Tl 2.3731 1.9358 4.0323
Tl 8.6580 1.9358 1.3502
Tl 8.3881 0.0000 4.0323
In 0.0000 1.9358 0.0000
In 6.0149 0.0000 0.0000
Br -0.4994 0.0000 2.6913
Br 5.5156 1.9358 2.6913
```

Results
Energy above the most stable polymorph in this dataset ... 0.15 eV per formula unit

---

# TlInBr4

TlInBr4 after structural relaxation (GGA-PBE, the Alexandria database).

The structure in extended XYZ format:
```
6
Lattice="0.0000 4.6798 4.6798 4.6798 0.0000 4.6798 4.6798 4.6798 0.0000" Properties=species:S:1:pos:R:3 pbc="T T T"
Tl 0.0000 0.0000 0.0000
In 2.3399 2.3399 2.3399
Br 5.8489 3.5107 3.5107
Br 3.5107 5.8489 3.5107
Br 3.5107 3.5107 5.8489
Br 5.8489 5.8489 5.8489
```

Results
Energy above the most stable polymorph in this dataset ... 4.63 eV per formula unit

---

# Tl2InBr

Tl2InBr after structural relaxation (GGA-PBE, the Alexandria database).

The structure in extended XYZ format:
```
8
Lattice="4.0540 0.0000 0.0000 0.0000 5.3132 0.0000 0.0000 0.0000 11.6733" Properties=species:S:1:pos:R:3 pbc="T T T"
Tl 0.0000 0.0000 0.0000
Tl 0.0000 2.6566 2.7939
Tl 2.0270 0.0000 8.6305
Tl 2.0270 2.6566 5.8366
In 0.0000 0.0000 5.6483
In 2.0270 2.6566 11.4849
Br 0.0000 2.6566 8.7258
Br 2.0270 0.0000 2.8891
```

Results
Energy above the most stable polymorph in this dataset ... 0.12 eV per formula unit

---

# Tl2InBr4

Tl2InBr4 after structural relaxation (GGA-PBE, the Alexandria database).

The structure in extended XYZ format:
```
28
Lattice="8.0003 0.0000 0.0000 0.0000 16.6264 0.0000 0.0000 0.0000 8.0544" Properties=species:S:1:pos:R:3 pbc="T T T"
Tl 0.4822 2.3985 0.2329
Tl 0.4822 5.9147 4.2601
Tl 3.5179 10.7117 0.2329
Tl 3.5179 14.2279 4.2601
Tl 4.4824 2.3985 3.7942
Tl 4.4824 5.9147 7.8214
Tl 7.5181 10.7117 3.7942
Tl 7.5181 14.2279 7.8214
In 0.0000 0.0000 4.0272
In 0.0000 8.3132 0.0000
In 4.0002 0.0000 0.0000
In 4.0002 8.3132 4.0272
Br 0.2452 11.1827 0.6403
Br 0.2452 13.7569 4.6675
Br 1.8191 8.7347 5.8596
Br 1.8191 16.2049 1.8324
Br 2.1811 0.4215 5.8596
Br 2.1811 7.8917 1.8324
Br 3.7549 2.8695 0.6403
Br 3.7549 5.4437 4.6675
Br 4.2454 11.1827 3.3868
Br 4.2454 13.7569 7.4140
Br 5.8192 8.7347 6.2219
Br 5.8192 16.2049 2.1947
Br 6.1813 0.4215 6.2219
Br 6.1813 7.8917 2.1947
Br 7.7551 2.8695 3.3868
Br 7.7551 5.4437 7.4140
```

Results
Energy above the most stable polymorph in this dataset ... 0.00 eV per formula unit

---

# Tl5InBr8

Tl5InBr8 after structural relaxation (GGA-PBE, the Alexandria database).

The structure in extended XYZ format:
```
14
Lattice="-5.7483 5.7483 4.9192 5.7483 -5.7483 4.9192 5.7483 5.7483 -4.9192" Properties=species:S:1:pos:R:3 pbc="T T T"
Tl 0.0000 0.0000 0.0000
Tl 8.3874 2.4579 -1.2812
Tl 2.4579 3.1092 1.2812
Tl -2.6391 3.2904 3.6380
Tl 3.2904 2.6391 6.2004
In 5.7483 0.0000 2.4596
Br 6.1049 2.2241 1.2396
Br 2.2241 5.3917 -1.2396
Br -0.6624 2.8970 1.1863
Br 3.5242 0.3566 3.6796
Br 2.8513 5.0859 3.7329
Br 0.6624 8.5995 1.1863
Br -0.3566 3.5242 6.1588
Br -2.8513 6.4107 3.7329
```

---

# Tl3In2Br9

Tl3In2Br9 after structural relaxation (GGA-PBE, the Alexandria database).

The structure in extended XYZ format:
```
28
Lattice="6.6539 3.8416 6.5846 -6.6539 3.8416 6.5846 0.0000 -7.6833 6.5846" Properties=species:S:1:pos:R:3 pbc="T T T"
Tl -4.6770 -0.4175 8.2308
Tl -1.9769 -4.2591 11.5231
Tl 2.7001 -3.8416 8.2308
Tl -2.7000 3.8416 11.5231
Tl 1.9769 4.2591 8.2308
Tl 4.6770 0.4175 11.5231
In 0.0000 0.0000 2.9792
In 0.0000 0.0000 6.8978
In 0.0000 0.0000 12.8561
In 0.0000 0.0000 16.7747
Br -5.6113 -1.7339 11.3252
Br -1.3041 -5.7265 8.4286
Br -2.0963 0.0000 4.9385
Br -1.3040 -1.9568 8.0329
Br 1.0482 -1.8155 4.9385
Br -4.3072 3.9926 8.4286
Br 1.0482 1.8155 4.9385
Br -1.0426 2.1077 8.0329
Br -2.3467 0.1509 11.7209
Br 2.3467 -0.1509 8.0329
Br 1.0426 -2.1077 11.7209
Br -1.0482 -1.8155 14.8154
Br 4.3073 -3.9926 11.3252
Br -1.0482 1.8155 14.8154
Br 1.3041 1.9568 11.7209
Br 2.0963 0.0000 14.8154
Br 1.3040 5.7265 11.3252
Br 5.6113 1.7339 8.4286
```

---

# Tl3In5Br12

Tl3In5Br12 after structural relaxation (GGA-PBE, the Alexandria database).

The structure in extended XYZ format:
```
80
Lattice="-9.3193 9.3193 9.3193 9.3193 -9.3193 9.3193 9.3193 9.3193 -9.3193" Properties=species:S:1:pos:R:3 pbc="T T T"
Tl 4.6597 2.3298 0.0000
Tl 9.3193 4.6597 -2.3298
Tl 2.3298 0.0000 4.6597
Tl 11.6491 0.0000 4.6597
Tl 0.0000 4.6597 2.3298
Tl 4.6597 -2.3298 9.3193
Tl 4.6597 11.6491 0.0000
Tl 9.3193 4.6597 6.9895
Tl -2.3298 9.3193 4.6597
Tl 6.9895 9.3193 4.6597
Tl 0.0000 4.6597 11.6491
Tl 4.6597 6.9895 9.3193
In 0.0000 0.0000 0.0000
In 4.6597 4.6597 -4.6597
In 4.6597 -4.6597 4.6597
In 9.3193 0.0000 0.0000
In 13.9790 2.3298 0.0000
In 9.3193 -4.6597 6.9895
In 6.9895 9.3193 -4.6597
In 6.9895 0.0000 4.6597
In 4.6597 6.9895 0.0000
In 9.3193 4.6597 2.3298
In -4.6597 4.6597 4.6597
In 0.0000 9.3193 0.0000
In 0.0000 0.0000 9.3193
In 4.6597 4.6597 4.6597
In 0.0000 4.6597 6.9895
In 4.6597 2.3298 9.3193
In 2.3298 9.3193 4.6597
In 2.3298 0.0000 13.9790
In 0.0000 13.9790 2.3298
In -4.6597 6.9895 9.3193
Br 2.9279 -0.6150 1.1555
Br 11.0511 5.8152 -5.2746
Br 8.7044 -1.1555 2.9279
Br 12.2472 0.6150 1.1555
Br 11.0511 -3.5042 5.2746
Br 14.5939 -1.7318 3.5042
Br 1.1555 2.9279 -0.6150
Br 12.8235 4.0447 -1.7318
Br 5.8152 5.2746 -1.7318
Br 8.1638 2.9279 0.6150
Br -0.6150 1.1555 2.9279
Br 5.2746 -1.7318 5.8152
Br 8.7044 8.1638 -2.9279
Br 5.2746 1.7318 3.5042
Br 5.8152 -5.2746 11.0511
Br 8.1638 -2.9279 8.7044
Br 3.5042 5.2746 1.7318
Br 10.4748 6.3914 0.6150
Br 2.9279 8.7044 -1.1555
Br 5.2746 11.0511 -3.5042
Br 8.7044 1.1555 6.3914
Br 11.0511 3.5042 4.0447
Br 1.7318 3.5042 5.2746
Br 2.9279 0.6150 8.1638
Br 6.3914 8.7044 1.1555
Br 7.5876 5.8152 4.0447
Br -1.7318 5.8152 5.2746
Br 0.6150 8.1638 2.9279
Br 4.0447 -1.7318 12.8235
Br 6.3914 0.6150 10.4748
Br -1.1555 2.9279 8.7044
Br 5.8152 4.0447 7.5876
Br 1.1555 12.2472 0.6150
Br 3.5042 14.5939 -1.7318
Br 4.0447 7.5876 5.8152
Br 0.6150 1.1555 12.2472
Br 4.0447 11.0511 3.5042
Br 9.9343 8.1638 6.3914
Br 1.1555 6.3914 8.7044
Br 3.5042 4.0447 11.0511
Br -3.5042 5.2746 11.0511
Br 8.1638 6.3914 9.9343
Br -5.2746 11.0511 5.8152
Br -1.7318 12.8235 4.0447
Br -2.9279 8.7044 8.1638
Br 0.6150 10.4748 6.3914
Br -1.7318 3.5042 14.5939
Br 6.3914 9.9343 8.1638
```

---

# Tl2In2Br

Tl2In2Br after structural relaxation (GGA-PBE, the Alexandria database).

The structure in extended XYZ format:
```
10
Lattice="8.4846 0.0000 0.0000 0.0000 8.4846 0.0000 0.0000 0.0000 4.3543" Properties=species:S:1:pos:R:3 pbc="T T T"
Tl 1.3983 2.8440 0.0000
Tl 2.8440 7.0863 0.0000
Tl 5.6406 1.3983 0.0000
Tl 7.0863 5.6406 0.0000
In 1.1921 5.4345 2.1772
In 3.0502 1.1921 2.1772
In 5.4345 7.2925 2.1772
In 7.2925 3.0502 2.1772
Br 0.0000 0.0000 2.1772
Br 4.2423 4.2423 2.1772
```

Results
Energy above the most stable polymorph in this dataset ... 0.00 eV per formula unit

---

# Tl2InBr

Tl2InBr after structural relaxation (GGA-PBE, the Alexandria database).

The structure in extended XYZ format:
```
8
Lattice="12.2680 0.0000 0.0000 0.0000 3.8448 0.0000 -0.0371 0.0000 5.3980" Properties=species:S:1:pos:R:3 pbc="T T T"
Tl 0.0000 0.0000 0.0000
Tl 3.0522 0.0000 2.7287
Tl 6.1340 1.9224 0.0000
Tl 9.1862 1.9224 2.7287
In 2.8673 1.9224 0.0292
In 9.0013 0.0000 0.0292
Br 0.1016 1.9224 2.7054
Br 6.2355 0.0000 2.7054
```

Results
Energy above the most stable polymorph in this dataset ... 0.00 eV per formula unit

---

# Tl2InBr

Tl2InBr after structural relaxation (GGA-PBE, the Alexandria database).

The structure in extended XYZ format:
```
4
Lattice="3.8158 0.0000 0.0000 0.0000 5.5355 0.0000 0.0000 0.0000 5.8627" Properties=species:S:1:pos:R:3 pbc="T T T"
Tl 0.0000 0.0000 0.0000
Tl 1.9079 0.0000 2.9313
In 0.0000 2.7678 2.9313
Br 1.9079 2.7678 0.0000
```

Results
Energy above the most stable polymorph in this dataset ... 0.11 eV per formula unit

---

# Tl2InBr2

Tl2InBr2 after structural relaxation (GGA-PBE, the Alexandria database).

The structure in extended XYZ format:
```
10
Lattice="8.6074 0.0000 0.0000 0.0000 8.6074 0.0000 0.0000 0.0000 4.6043" Properties=species:S:1:pos:R:3 pbc="T T T"
Tl 1.2870 3.0167 0.0000
Tl 3.0167 7.3204 0.0000
Tl 5.5908 1.2870 0.0000
Tl 7.3204 5.5908 0.0000
In 0.0000 0.0000 0.0000
In 4.3037 4.3037 0.0000
Br 1.4268 5.7305 2.3022
Br 2.8769 1.4268 2.3022
Br 5.7305 7.1807 2.3022
Br 7.1807 2.8769 2.3022
```

Results
Energy above the most stable polymorph in this dataset ... 0.28 eV per formula unit

---

# Tl2InBr

Tl2InBr after structural relaxation (GGA-PBE, the Alexandria database).

The structure in extended XYZ format:
```
4
Lattice="4.5777 0.0000 0.0000 0.0000 4.5777 0.0000 0.0000 0.0000 6.4200" Properties=species:S:1:pos:R:3 pbc="T T T"
Tl 0.0000 0.0000 0.0000
Tl 2.2888 2.2888 3.1829
In 2.2888 2.2888 6.3916
Br 0.0000 0.0000 3.2100
```

Results
Energy above the most stable polymorph in this dataset ... 0.07 eV per formula unit

---

# Tl5In2Br12

Tl5In2Br12 after structural relaxation (GGA-PBE, the Alexandria database).

The structure in extended XYZ format:
```
19
Lattice="8.7866 -4.1348 0.0000 8.7866 4.1348 0.0000 -3.0715 0.0000 9.8380" Properties=species:S:1:pos:R:3 pbc="T T T"
Tl 0.0000 0.0000 0.0000
Tl 4.6968 0.0000 1.2862
Tl 3.3978 0.0000 6.8204
Tl 11.1039 0.0000 3.0175
Tl 9.8049 0.0000 8.5517
In 7.2508 2.0580 4.9190
In 7.2508 -2.0580 4.9190
Br -2.0188 0.0000 6.7320
Br 4.7238 2.0023 4.2402
Br 3.5600 2.1208 9.2904
Br 10.9417 2.1208 0.5476
Br 9.7779 2.0023 5.5978
Br 7.7426 0.0000 3.0509
Br 6.7591 0.0000 6.7871
Br 4.7238 -2.0023 4.2402
Br 3.5600 -2.1208 9.2904
Br 10.9417 -2.1208 0.5476
Br 9.7779 -2.0023 5.5978
Br 16.5205 0.0000 3.1059
```

---

# Tl3In2Br6

Tl3In2Br6 after structural relaxation (GGA-PBE, the Alexandria database).

The structure in extended XYZ format:
```
11
Lattice="5.8885 0.0000 0.0000 0.1654 5.8965 0.0000 2.3329 2.1744 12.0488" Properties=species:S:1:pos:R:3 pbc="T T T"
Tl 0.0000 0.0000 0.0000
Tl 2.9887 2.8674 7.7285
Tl 5.3980 5.2035 4.3203
In 3.0135 2.9437 1.6023
In 5.3733 5.1272 10.4465
Br 2.4070 5.1154 10.1281
Br 3.0818 3.0550 4.5067
Br 3.1184 5.9237 1.9263
Br 5.2684 2.1472 10.1225
Br 5.3050 5.0159 7.5421
Br 5.9798 2.9555 1.9207
```

---

# TmTl2In2Br6

TmTl2In2Br6 after structural relaxation (GGA-PBE, the Alexandria database).

The structure in extended XYZ format:
```
11
Lattice="3.7194 -7.3347 0.0000 3.7194 7.3347 0.0000 -1.9781 0.0000 8.5497" Properties=species:S:1:pos:R:3 pbc="T T T"
Tm 0.0000 0.0000 0.0000
Tl 3.7194 2.4653 0.0000
Tl 3.7194 -2.4653 0.0000
In 2.7304 3.5335 4.2749
In 2.7304 -3.5335 4.2749
Br 2.7196 5.3670 1.7034
Br 2.7411 5.3670 6.8463
Br 2.2870 0.0000 1.5564
Br 3.1738 0.0000 6.9933
Br 2.7196 -5.3670 1.7034
Br 2.7411 -5.3670 6.8463
```

---

# UTlIn2Br6

UTlIn2Br6 after structural relaxation (GGA-PBE, the Alexandria database).

The structure in extended XYZ format:
```
10
Lattice="4.1060 2.3706 7.0469 -4.1060 2.3706 7.0469 0.0000 -4.7412 7.0469" Properties=species:S:1:pos:R:3 pbc="T T T"
U 0.0000 0.0000 0.0000
Tl 0.0000 0.0000 10.3727
In 0.0000 0.0000 4.2863
In 0.0000 0.0000 14.6633
Br -1.0830 -2.7540 8.9137
Br -2.5905 -0.4099 12.5826
Br -1.8435 2.3149 8.9137
Br 1.6503 -2.0385 12.5827
Br 2.9266 0.4391 8.9137
Br 0.9402 2.4484 12.5827
```

---

# UTl2InBr6

UTl2InBr6 after structural relaxation (GGA-PBE, the Alexandria database).

The structure in extended XYZ format:
```
10
Lattice="8.2060 0.0000 0.0000 -4.1029 7.1201 0.0000 -4.1023 -2.3703 7.0577" Properties=species:S:1:pos:R:3 pbc="T T T"
U 0.0000 0.0000 0.0000
Tl 0.0028 4.7490 2.7007
Tl -0.0005 0.0076 6.4362
In -4.1042 2.3736 3.6959
Br -5.9239 4.5951 5.2271
Br -3.1802 4.8343 1.5412
Br 1.5132 1.9458 1.5409
Br -1.2721 2.8535 5.2239
Br 3.0997 -0.3202 5.2220
Br 5.7623 0.3443 1.5371
```

---

# UTlIn2Br8

UTlIn2Br8 after structural relaxation (GGA-PBE, the Alexandria database).

The structure in extended XYZ format:
```
12
Lattice="7.1221 0.0000 0.0000 0.0634 7.5899 0.0000 0.0171 0.0098 9.4724" Properties=species:S:1:pos:R:3 pbc="T T T"
U 0.0000 0.0000 0.0000
Tl 0.0086 0.0049 4.7362
In 3.5936 3.8033 6.9416
In 3.6090 3.7965 2.5308
Br 1.4606 5.2930 0.0083
Br 1.6459 0.9984 1.9306
Br 1.6621 0.9935 7.5327
Br 2.0239 4.9806 4.7304
Br 5.1787 2.6191 4.7420
Br 5.5405 6.6063 1.9397
Br 5.5567 6.6013 7.5418
Br 5.7420 2.3067 9.4641
```

---

no.,formation energy from raw total energies (eV/atom)
1,-0.229
2,-0.073
3,-0.238
4,-0.790
5,-0.807
6,-0.818
7,-0.716
8,-0.145
9,-0.267
10,-0.241
11,-0.440
12,-0.250
13,-0.771
14,-0.757
15,-1.007
16,-0.949
17,-0.994
18,-0.982